Record 1
Compound: BaTl2CdPt
Source: Alexandria
Functional: PBE
Structure: optimized geometry

Output
As for the relative energy among the computed polymorphs: 1474.3 meV per atom. For the total energy, the calculation gives -7.507 eV/f.u. The energy relative to the elements is 1.22 eV/atom. Its crystal system is tetragonal.

abc: 6.4207 6.1658 6.4207
angles: 90.00 90.00 90.00
Positions (direct):
Pt1 0.5000 0.5000 0.5000
Tl1 0.5000 0.0000 0.0000
Tl2 0.0000 0.0000 0.5000
Cd1 0.0000 0.5000 0.0000
Ba1 0.0000 0.0000 0.0000

=====

Record 2
Compound: Ba2Tl3CdPt4
Source: Alexandria
Functional: PBE
Structure: optimized geometry

Output
For the total energy, the calculation gives -40.369 eV/f.u. The energy relative to the elements is -0.43 eV/atom. Its crystal system is tetragonal.

abc: 4.9019 4.9019 10.8730
angles: 90.00 90.00 90.00
Positions (direct):
Pt1 0.5000 0.5000 0.0000
Pt2 0.0000 0.0000 0.0000
Tl1 0.5000 0.0000 0.8775
Pt3 0.0000 0.5000 0.3739
Tl2 0.0000 0.0000 0.5000
Pt4 0.5000 0.0000 0.6261
Ba1 0.0000 0.5000 0.7639
Ba2 0.5000 0.0000 0.2361
Cd1 0.5000 0.5000 0.5000
Tl3 0.0000 0.5000 0.1225

=====

Q: Look up the energy relative to the elements of the second one.
A: -0.43 eV/atom

=====

Q: energy relative to the elements of number 1 (BaTl2CdPt)?
A: 1.22 eV/atom

=====

Q: Look up the energy relative to the elements of the first one.
A: 1.22 eV/atom

=====

Q: Which value of energy relative to the elements does entry 2 give?
A: -0.43 eV/atom